Computed, not measured: an optimized crystal structure of Nd3Te2Au at the PBE-GGA level of DFT.

Results
The value obtained for the density of states at the Fermi level is 9.60 states/eV per cell. As for the total energy: -0.190 hartree per atom. The calculation puts the energy above the most stable polymorph in this dataset at 0 meV per atom. As for the uncorrected formation energy: -1202 meV per atom.

Unit cell a=7.646 b=7.646 c=7.831 alpha=99.42 beta=99.42 gamma=120.07
Positions (direct):
Nd1 0.075 0.419 0.761
Nd2 0.233 0.233 0.235
Nd3 0.419 0.075 0.761
Nd4 0.581 0.925 0.239
Nd5 0.767 0.767 0.765
Nd6 0.925 0.581 0.239
Te1 0.000 0.000 0.500
Te2 0.341 0.659 0.500
Te3 0.500 0.500 0.000
Te4 0.659 0.341 0.500
Au1 0.169 0.831 0.000
Au2 0.831 0.169 0.000